Version a
Material: Li2CuAg5
Method: DFT, PBE
State: relaxed

abc: 5.280 5.280 12.689
angles: 90.00 90.00 130.46
Positions (direct):
Li: 0.223 0.777 0.636
Li: 0.223 0.777 0.864
Li: 0.777 0.223 0.136
Li: 0.777 0.223 0.364
Cu: 0.251 0.749 0.250
Cu: 0.749 0.251 0.750
Ag: 0.074 0.926 0.097
Ag: 0.074 0.926 0.403
Ag: 0.371 0.629 0.052
Ag: 0.371 0.629 0.448
Ag: 0.470 0.530 0.750
Ag: 0.530 0.470 0.250
Ag: 0.629 0.371 0.552
Ag: 0.629 0.371 0.948
Ag: 0.926 0.074 0.597
Ag: 0.926 0.074 0.903

Crystal system: orthorhombic
Magnetization, μB per cell: 0.0
Space-group type: Cmcm



Version b
Material: Li2CuAg5
Method: DFT, PBE
State: relaxed

abc: 5.745 11.416 3.992
angles: 90.00 90.00 90.00
Positions (direct):
Li: 0.227 0.127 0.000
Li: 0.273 0.627 0.000
Li: 0.727 0.373 0.000
Li: 0.773 0.873 0.000
Cu: 0.000 0.500 0.500
Cu: 0.500 0.000 0.500
Ag: 0.000 0.000 0.500
Ag: 0.033 0.745 0.500
Ag: 0.219 0.385 0.000
Ag: 0.281 0.885 0.000
Ag: 0.467 0.245 0.500
Ag: 0.500 0.500 0.500
Ag: 0.533 0.755 0.500
Ag: 0.719 0.115 0.000
Ag: 0.781 0.615 0.000
Ag: 0.967 0.255 0.500

Crystal system: orthorhombic
Magnetization, μB per cell: 0.0
Space-group type: Pbam



From most stable to least stable, the computed energies give version b, version a.



Version a
Material: LiCuAg3
Method: DFT, PBE
State: relaxed

abc: 2.874 6.884 8.960
angles: 107.38 97.11 90.65
Positions (direct):
Li: 0.103 0.043 0.240
Li: 0.897 0.957 0.760
Cu: 0.074 0.580 0.145
Cu: 0.926 0.420 0.855
Ag: 0.228 0.816 0.448
Ag: 0.330 0.568 0.653
Ag: 0.497 0.215 0.019
Ag: 0.503 0.785 0.981
Ag: 0.670 0.432 0.347
Ag: 0.772 0.184 0.552

Crystal system: triclinic
Magnetization, μB per cell: 0.0
Space-group type: P-1



Version b
Material: LiCuAg3
Method: DFT, PBE
State: relaxed

abc: 4.859 4.859 4.859
angles: 90.00 90.00 90.00
Positions (direct):
Li: 0.000 0.000 0.000
Cu: 0.500 0.500 0.500
Ag: 0.000 0.500 0.500
Ag: 0.500 0.000 0.500
Ag: 0.500 0.500 0.000

Crystal system: cubic
Magnetization, μB per cell: 0.0
Space-group type: Pm-3m



From most stable to least stable, the computed energies give version a, version b.